Record 1
A plane-wave DFT calculation with GGA-PBE was carried out for a geometry-optimized Ta2TeAu structure.

Computed properties:
Formation energy from raw total energies   0.334 eV per atom
SG   No. 12

Lattice parameters (Å, degrees): 5.940 5.242 3.124 81.95 73.82 118.91
Fractional positions:
Au (0.500, 0.500, 0.000)
Ta (0.500, 0.000, 0.500)
Ta (0.000, 0.000, 0.000)
Te (0.000, 0.500, 0.500)

***

Record 2
A plane-wave DFT calculation with GGA-PBE was carried out for a geometry-optimized TaTeAu structure.

Computed properties:
Distance to the lowest polymorph of the same formula   377.7 meV/atom
Formation energy from raw total energies   0.436 eV per atom
SG   No. 156

Lattice parameters (Å, degrees): 4.660 4.660 3.432 90.00 90.00 120.00
Fractional positions:
Au (0.000, 0.000, 0.001)
Te (0.667, 0.333, 0.506)
Ta (0.333, 0.667, 0.492)

***

Record 3
A plane-wave DFT calculation with GGA-PBE was carried out for a geometry-optimized TaTeAu2 structure.

Computed properties:
Formation energy from raw total energies   0.242 eV per atom
SG   No. 122

Lattice parameters (Å, degrees): 7.833 7.833 6.191 50.76 50.76 90.00
Fractional positions:
Au (0.111, 0.625, 0.250)
Ta (0.000, 0.000, 0.000)
Te (0.250, 0.750, 0.500)
Au (0.375, 0.361, 0.750)
Te (0.500, 0.500, 0.000)
Au (0.639, 0.125, 0.250)
Au (0.875, 0.889, 0.750)
Ta (0.750, 0.250, 0.500)

***

Record 4
A plane-wave DFT calculation with GGA-PBE was carried out for a geometry-optimized TaTe2Au structure.

Computed properties:
Distance to the lowest polymorph of the same formula   395.1 meV/atom
Formation energy from raw total energies   0.326 eV per atom
SG   No. 65

Lattice parameters (Å, degrees): 3.134 3.134 10.655 90.00 90.00 112.01
Fractional positions:
Ta (0.500, 0.500, 0.750)
Te (0.000, 0.000, 0.540)
Te (0.000, 0.000, 0.960)
Au (0.500, 0.500, 0.250)

***

Number 1: energy -7.197 eV per atom. Number 2: energy -5.655 eV per atom. Number 3: energy -5.145 eV per atom. Number 4: energy -5.028 eV per atom.